A relaxed structure of SrHg2Rh2. Source: Alexandria via LeMat-Bulk, functional GGA-PBE.

```
SrHg2Rh2
1.0
7.823 0.000 0.000
0.000 7.823 0.000
0.000 0.000 3.377
Sr Hg Rh
2 4 4
Direct
0.000 0.000 0.000 Sr
0.500 0.500 0.000 Sr
0.166 0.334 0.500 Hg
0.334 0.834 0.500 Hg
0.666 0.166 0.500 Hg
0.834 0.666 0.500 Hg
0.128 0.628 0.000 Rh
0.372 0.128 0.000 Rh
0.628 0.872 0.000 Rh
0.872 0.372 0.000 Rh
```

Summary:
Relative energy among the computed polymorphs   0 meV/atom
SG   No. 127
E_form   -0.1083 eV/atom
M_tot   0.0 μB/f.u.
DFT total energy   -35.059 eV/cell
Density   11.2 g/cm³

=====

A relaxed structure of SrHgRh2. Source: Alexandria via LeMat-Bulk, functional GGA-PBE.

```
SrHgRh2
1.0
3.291 0.000 0.000
-1.646 2.850 0.000
0.000 0.000 26.342
Sr Hg Rh
3 3 6
Direct
0.000 0.000 0.000 Sr
0.333 0.667 0.667 Sr
0.667 0.333 0.333 Sr
0.000 0.000 0.500 Hg
0.333 0.667 0.167 Hg
0.667 0.333 0.833 Hg
0.000 0.000 0.245 Rh
0.000 0.000 0.755 Rh
0.333 0.667 0.421 Rh
0.333 0.667 0.912 Rh
0.667 0.333 0.088 Rh
0.667 0.333 0.579 Rh
```

Summary:
SG   No. 166
E_form   0.3450 eV/atom
M_tot   0.0 μB/f.u.
DFT total energy   -45.919 eV/cell
Density   10.0 g/cm³

=====

A relaxed structure of SrTbHgRh. Source: Alexandria via LeMat-Bulk, functional GGA-PBE.

```
SrTbHgRh
1.0
7.359 0.000 0.000
0.000 7.359 0.000
0.000 0.000 7.359
Sr Tb Hg Rh
4 4 4 4
Direct
0.000 0.000 0.000 Sr
0.000 0.500 0.500 Sr
0.500 0.000 0.500 Sr
0.500 0.500 0.000 Sr
0.000 0.000 0.500 Tb
0.000 0.500 0.000 Tb
0.500 0.000 0.000 Tb
0.500 0.500 0.500 Tb
0.250 0.250 0.750 Hg
0.250 0.750 0.250 Hg
0.750 0.250 0.250 Hg
0.750 0.750 0.750 Hg
0.250 0.250 0.250 Rh
0.250 0.750 0.750 Rh
0.750 0.250 0.750 Rh
0.750 0.750 0.250 Rh
```

Summary:
SG   No. 216
E_form   -0.3841 eV/atom
M_tot   0.0 μB/f.u.
DFT total energy   -62.007 eV/cell
Density   9.2 g/cm³

=====

A relaxed structure of SrV2HgRh. Source: Alexandria via LeMat-Bulk, functional GGA-PBE.

```
SrV2HgRh
1.0
4.787 0.000 0.000
0.000 4.787 0.000
0.000 0.000 5.793
Sr V Hg Rh
1 2 1 1
Direct
0.000 0.000 0.000 Sr
0.000 0.500 0.500 V
0.500 0.000 0.500 V
0.500 0.500 0.000 Hg
0.000 0.000 0.500 Rh
```

Summary:
SG   No. 123
E_form   0.5854 eV/atom
M_tot   5.5 μB/f.u.
DFT total energy   -24.645 eV/cell
Density   6.2 g/cm³